No. 1
# Pa3Te6Rh GGA-PBE relaxed
data_Pa3Te6Rh
_chemical_formula_sum 'Pa6 Te12 Rh2'
_cell_length_a 7.077
_cell_length_b 9.375
_cell_length_c 9.375
_cell_angle_alpha 98.35
_cell_angle_beta 90.00
_cell_angle_gamma 90.00
_space_group_name_H-M_alt 'P 1'
_space_group_IT_number 1
loop_
_space_group_symop_operation_xyz
'x,y,z'
loop_
_atom_site_label
_atom_site_fract_x
_atom_site_fract_y
_atom_site_fract_z
Pa1 0.350 0.382 0.618
Pa2 0.958 0.059 0.261
Pa3 0.458 0.261 0.059
Pa4 0.958 0.739 0.941
Pa5 0.458 0.941 0.739
Pa6 0.850 0.618 0.382
Te1 0.728 0.517 0.063
Te2 0.228 0.063 0.517
Te3 0.657 0.631 0.699
Te4 0.728 0.937 0.483
Te5 0.157 0.699 0.631
Te6 0.657 0.301 0.369
Te7 0.684 0.230 0.770
Te8 0.157 0.369 0.301
Te9 0.184 0.770 0.230
Te10 0.228 0.483 0.937
Te11 0.137 0.045 0.955
Te12 0.637 0.955 0.045
Rh1 0.128 0.250 0.750
Rh2 0.628 0.750 0.250
# **Uncorrected formation energy**: -71 kJ per mole of atoms
# **Total magnetization**: 3.5 μB per cell
# **N(E_F)**: 20.4 states/eV per cell
# **Space group**: Cmc2_1
# **Raw total energy**: -6.205 eV/atom
# **Calculated volume**: 307.7 Å³/f.u.


No. 2
# Pa2Te5Rh GGA-PBE relaxed
data_Pa2Te5Rh
_chemical_formula_sum 'Pa4 Te10 Rh2'
_cell_length_a 5.696
_cell_length_b 5.702
_cell_length_c 15.782
_cell_angle_alpha 90.00
_cell_angle_beta 90.00
_cell_angle_gamma 119.97
_space_group_name_H-M_alt 'P 1'
_space_group_IT_number 1
loop_
_space_group_symop_operation_xyz
'x,y,z'
loop_
_atom_site_label
_atom_site_fract_x
_atom_site_fract_y
_atom_site_fract_z
Te1 0.747 0.495 0.250
Te2 0.587 0.174 0.603
Te3 0.413 0.826 0.103
Te4 0.913 0.826 0.896
Te5 0.587 0.174 0.897
Te6 0.087 0.174 0.396
Te7 0.913 0.826 0.604
Te8 0.087 0.174 0.104
Te9 0.253 0.505 0.750
Te10 0.413 0.826 0.397
Rh1 0.750 0.500 0.750
Rh2 0.250 0.500 0.250
Pa1 0.750 0.501 0.431
Pa2 0.250 0.499 0.569
Pa3 0.750 0.501 0.069
Pa4 0.250 0.499 0.931
# **Uncorrected formation energy**: -55 kJ per mole of atoms
# **Total magnetization**: 2.8 μB per cell
# **N(E_F)**: 13.9 states/eV per cell
# **Space group**: Cmcm
# **Raw total energy**: -5.831 eV/atom
# **Calculated volume**: 222.0 Å³/f.u.


No. 3
# PaTeRh GGA-PBE relaxed
data_PaTeRh
_chemical_formula_sum 'Pa1 Te1 Rh1'
_cell_length_a 4.197
_cell_length_b 4.347
_cell_length_c 4.347
_cell_angle_alpha 120.00
_cell_angle_beta 90.00
_cell_angle_gamma 90.00
_space_group_name_H-M_alt 'P 1'
_space_group_IT_number 1
loop_
_space_group_symop_operation_xyz
'x,y,z'
loop_
_atom_site_label
_atom_site_fract_x
_atom_site_fract_y
_atom_site_fract_z
Pa1 0.716 0.667 0.333
Te1 0.251 0.333 0.667
Rh1 0.033 0.000 0.000
# **Uncorrected formation energy**: -71 kJ per mole of atoms
# **Total magnetization**: 0.0 μB per cell
# **N(E_F)**: 2.2 states/eV per cell
# **Space group**: P3m1
# **Offset from the most stable computed form**: 88 meV per atom
# **Raw total energy**: -7.396 eV/atom
# **Calculated volume**: 68.7 Å³/f.u.


No. 4
# PaTeRh GGA-PBE relaxed
data_PaTeRh
_chemical_formula_sum 'Pa4 Te4 Rh4'
_cell_length_a 6.920
_cell_length_b 7.089
_cell_length_c 7.453
_cell_angle_alpha 125.91
_cell_angle_beta 90.00
_cell_angle_gamma 90.00
_space_group_name_H-M_alt 'P 1'
_space_group_IT_number 1
loop_
_space_group_symop_operation_xyz
'x,y,z'
loop_
_atom_site_label
_atom_site_fract_x
_atom_site_fract_y
_atom_site_fract_z
Pa1 0.179 0.348 0.587
Pa2 0.321 0.348 0.087
Pa3 0.679 0.652 0.913
Pa4 0.821 0.652 0.413
Rh1 0.523 0.775 0.297
Rh2 0.023 0.225 0.203
Rh3 0.477 0.225 0.703
Rh4 0.977 0.775 0.797
Te1 0.392 0.801 0.683
Te2 0.892 0.199 0.817
Te3 0.608 0.199 0.317
Te4 0.108 0.801 0.183
# **Uncorrected formation energy**: -66 kJ per mole of atoms
# **Total magnetization**: 0.0 μB per cell
# **N(E_F)**: 12.9 states/eV per cell
# **Space group**: P2_1/c
# **Offset from the most stable computed form**: 140 meV per atom
# **Raw total energy**: -7.343 eV/atom
# **Calculated volume**: 74.0 Å³/f.u.


No. 5
# Pa3Te4Rh3 GGA-PBE relaxed
data_Pa3Te4Rh3
_chemical_formula_sum 'Pa6 Te8 Rh6'
_cell_length_a 8.415
_cell_length_b 8.415
_cell_length_c 8.415
_cell_angle_alpha 109.47
_cell_angle_beta 109.47
_cell_angle_gamma 109.47
_space_group_name_H-M_alt 'P 1'
_space_group_IT_number 1
loop_
_space_group_symop_operation_xyz
'x,y,z'
loop_
_atom_site_label
_atom_site_fract_x
_atom_site_fract_y
_atom_site_fract_z
Te1 0.500 0.328 0.500
Te2 0.000 0.000 0.328
Te3 0.828 0.500 0.000
Te4 0.172 0.672 0.672
Te5 0.672 0.172 0.172
Te6 0.000 0.000 0.828
Te7 0.328 0.500 0.000
Te8 0.500 0.828 0.500
Rh1 0.875 0.625 0.750
Rh2 0.250 0.375 0.625
Rh3 0.125 0.750 0.375
Rh4 0.375 0.250 0.125
Rh5 0.625 0.875 0.250
Rh6 0.750 0.125 0.875
Pa1 0.125 0.375 0.250
Pa2 0.375 0.125 0.750
Pa3 0.625 0.750 0.875
Pa4 0.750 0.625 0.375
Pa5 0.875 0.250 0.625
Pa6 0.250 0.875 0.125
# **Uncorrected formation energy**: -78 kJ per mole of atoms
# **Total magnetization**: 7.4 μB per cell
# **N(E_F)**: 26.0 states/eV per cell
# **Space group**: I-43d
# **Raw total energy**: -7.116 eV/atom
# **Calculated volume**: 229.4 Å³/f.u.


No. 6
# PaTeRh GGA-PBE relaxed
data_PaTeRh
_chemical_formula_sum 'Pa4 Te4 Rh4'
_cell_length_a 4.078
_cell_length_b 4.079
_cell_length_c 17.271
_cell_angle_alpha 90.00
_cell_angle_beta 90.00
_cell_angle_gamma 90.00
_space_group_name_H-M_alt 'P 1'
_space_group_IT_number 1
loop_
_space_group_symop_operation_xyz
'x,y,z'
loop_
_atom_site_label
_atom_site_fract_x
_atom_site_fract_y
_atom_site_fract_z
Rh1 0.750 0.000 0.750
Rh2 0.250 0.500 0.250
Rh3 0.250 0.500 0.750
Rh4 0.750 0.000 0.250
Pa1 0.750 0.500 0.640
Pa2 0.250 0.000 0.360
Pa3 0.750 0.500 0.140
Pa4 0.250 0.000 0.860
Te1 0.250 0.000 0.064
Te2 0.750 0.500 0.436
Te3 0.750 0.500 0.936
Te4 0.250 0.000 0.564
# **Uncorrected formation energy**: -79 kJ per mole of atoms
# **Total magnetization**: 0.0 μB per cell
# **N(E_F)**: 8.5 states/eV per cell
# **Space group**: P4/nmm
# **Offset from the most stable computed form**: 0 meV per atom
# **Raw total energy**: -7.484 eV/atom
# **Calculated volume**: 71.8 Å³/f.u.


No. 7
# Pa2TeRh GGA-PBE relaxed
data_Pa2TeRh
_chemical_formula_sum 'Pa2 Te1 Rh1'
_cell_length_a 3.428
_cell_length_b 3.428
_cell_length_c 7.778
_cell_angle_alpha 90.00
_cell_angle_beta 90.00
_cell_angle_gamma 90.00
_space_group_name_H-M_alt 'P 1'
_space_group_IT_number 1
loop_
_space_group_symop_operation_xyz
'x,y,z'
loop_
_atom_site_label
_atom_site_fract_x
_atom_site_fract_y
_atom_site_fract_z
Te1 0.500 0.500 0.500
Pa1 0.000 0.000 0.772
Pa2 0.000 0.000 0.228
Rh1 0.500 0.500 0.000
# **Uncorrected formation energy**: -53 kJ per mole of atoms
# **Total magnetization**: 0.0 μB per cell
# **N(E_F)**: 7.8 states/eV per cell
# **Space group**: P4/mmm
# **Offset from the most stable computed form**: 101 meV per atom
# **Raw total energy**: -7.924 eV/atom
# **Calculated volume**: 91.4 Å³/f.u.


No. 8
# Pa2TeRh2 GGA-PBE relaxed
data_Pa2TeRh2
_chemical_formula_sum 'Pa4 Te2 Rh4'
_cell_length_a 3.704
_cell_length_b 7.618
_cell_length_c 7.618
_cell_angle_alpha 90.00
_cell_angle_beta 90.00
_cell_angle_gamma 90.00
_space_group_name_H-M_alt 'P 1'
_space_group_IT_number 1
loop_
_space_group_symop_operation_xyz
'x,y,z'
loop_
_atom_site_label
_atom_site_fract_x
_atom_site_fract_y
_atom_site_fract_z
Te1 0.500 0.000 0.500
Te2 0.500 0.500 0.000
Rh1 0.500 0.631 0.631
Rh2 0.500 0.869 0.131
Rh3 0.500 0.131 0.869
Rh4 0.500 0.369 0.369
Pa1 0.000 0.173 0.173
Pa2 0.000 0.327 0.673
Pa3 0.000 0.827 0.827
Pa4 0.000 0.673 0.327
# **Uncorrected formation energy**: -79 kJ per mole of atoms
# **Total magnetization**: 0.0 μB per cell
# **N(E_F)**: 9.3 states/eV per cell
# **Space group**: P4/mbm
# **Raw total energy**: -8.184 eV/atom
# **Calculated volume**: 107.5 Å³/f.u.


No. 9
# PaTl3Te6Rh2 GGA-PBE relaxed
data_PaTl3Te6Rh2
_chemical_formula_sum 'Pa1 Tl3 Te6 Rh2'
_cell_length_a 6.791
_cell_length_b 6.791
_cell_length_c 9.329
_cell_angle_alpha 97.25
_cell_angle_beta 97.25
_cell_angle_gamma 120.26
_space_group_name_H-M_alt 'P 1'
_space_group_IT_number 1
loop_
_space_group_symop_operation_xyz
'x,y,z'
loop_
_atom_site_label
_atom_site_fract_x
_atom_site_fract_y
_atom_site_fract_z
Te1 0.063 0.435 0.185
Te2 0.565 0.937 0.815
Te3 0.435 0.063 0.185
Te4 0.307 0.307 0.816
Te5 0.693 0.693 0.184
Te6 0.937 0.565 0.815
Tl1 0.163 0.837 0.500
Tl2 0.837 0.163 0.500
Tl3 0.500 0.500 0.500
Pa1 0.000 0.000 0.000
Rh1 0.334 0.666 0.000
Rh2 0.666 0.334 0.000
# **Uncorrected formation energy**: -42 kJ per mole of atoms
# **Total magnetization**: 0.0 μB per cell
# **N(E_F)**: 5.3 states/eV per cell
# **Space group**: C2/m
# **Raw total energy**: -4.619 eV/atom
# **Calculated volume**: 359.5 Å³/f.u.


No. 10
# ThPaRh2 GGA-PBE relaxed
data_ThPaRh2
_chemical_formula_sum 'Th1 Pa1 Rh2'
_cell_length_a 4.036
_cell_length_b 4.036
_cell_length_c 7.043
_cell_angle_alpha 73.35
_cell_angle_beta 73.35
_cell_angle_gamma 60.00
_space_group_name_H-M_alt 'P 1'
_space_group_IT_number 1
loop_
_space_group_symop_operation_xyz
'x,y,z'
loop_
_atom_site_label
_atom_site_fract_x
_atom_site_fract_y
_atom_site_fract_z
Rh1 0.255 0.255 0.234
Rh2 0.745 0.745 0.766
Pa1 0.000 0.000 0.000
Th1 0.500 0.500 0.500
# **Total magnetization**: 0.0 μB per cell
# **N(E_F)**: 2.2 states/eV per cell
# **Space group**: R-3m
# **Offset from the most stable computed form**: 23 meV per atom
# **Raw total energy**: -8.725 eV/atom
# **Calculated volume**: 93.8 Å³/f.u.


No. 11
# Th2PaRh3 GGA-PBE relaxed
data_Th2PaRh3
_chemical_formula_sum 'Th8 Pa4 Rh12'
_cell_length_a 7.053
_cell_length_b 7.053
_cell_length_c 12.824
_cell_angle_alpha 100.58
_cell_angle_beta 100.58
_cell_angle_gamma 109.40
_space_group_name_H-M_alt 'P 1'
_space_group_IT_number 1
loop_
_space_group_symop_operation_xyz
'x,y,z'
loop_
_atom_site_label
_atom_site_fract_x
_atom_site_fract_y
_atom_site_fract_z
Rh1 0.927 0.913 0.328
Rh2 0.238 0.238 0.000
Rh3 0.585 0.599 0.672
Rh4 0.762 0.762 0.000
Rh5 0.163 0.677 0.828
Rh6 0.848 0.335 0.172
Rh7 0.665 0.151 0.828
Rh8 0.087 0.073 0.672
Rh9 0.488 0.988 0.500
Rh10 0.402 0.415 0.328
Rh11 0.323 0.837 0.172
Rh12 0.012 0.512 0.500
Pa1 0.166 0.666 0.333
Pa2 0.333 0.833 0.667
Pa3 0.084 0.084 0.167
Pa4 0.917 0.917 0.833
Th1 0.833 0.333 0.666
Th2 0.583 0.583 0.166
Th3 0.667 0.167 0.334
Th4 0.250 0.250 0.501
Th5 0.000 0.500 0.999
Th6 0.750 0.750 0.499
Th7 0.500 0.000 0.001
Th8 0.417 0.417 0.834
# **Total magnetization**: 0.0 μB per cell
# **N(E_F)**: 13.8 states/eV per cell
# **Space group**: Fddd
# **Raw total energy**: -8.581 eV/atom
# **Calculated volume**: 142.6 Å³/f.u.


No. 12
# ThPaRh2 GGA-PBE relaxed
data_ThPaRh2
_chemical_formula_sum 'Th2 Pa2 Rh4'
_cell_length_a 4.102
_cell_length_b 7.993
_cell_length_c 7.760
_cell_angle_alpha 135.00
_cell_angle_beta 90.00
_cell_angle_gamma 90.00
_space_group_name_H-M_alt 'P 1'
_space_group_IT_number 1
loop_
_space_group_symop_operation_xyz
'x,y,z'
loop_
_atom_site_label
_atom_site_fract_x
_atom_site_fract_y
_atom_site_fract_z
Th1 0.750 0.770 0.956
Th2 0.250 0.230 0.044
Rh1 0.250 0.706 0.172
Rh2 0.750 0.302 0.361
Rh3 0.750 0.294 0.828
Rh4 0.250 0.698 0.639
Pa1 0.250 0.226 0.542
Pa2 0.750 0.774 0.458
# **Total magnetization**: 0.0 μB per cell
# **N(E_F)**: 7.2 states/eV per cell
# **Space group**: P2_1/m
# **Offset from the most stable computed form**: 0 meV per atom
# **Raw total energy**: -8.748 eV/atom
# **Calculated volume**: 90.0 Å³/f.u.